VASP calculation (PBE-GGA) on crystalline ZrTiRe4 at its relaxed geometry.

extended XYZ file:
```
6
Lattice="5.2444 0.0000 0.0000 2.6222 4.5418 0.0000 2.6222 1.5139 4.2820" Properties=species:S:1:pos:R:3 pbc="T T T"
Re 5.2444 3.0278 0.5322
Ti 0.0000 0.0000 0.0000
Re 5.2444 1.5111 2.6773
Re 3.9308 3.7862 2.6773
Zr 2.6222 1.5139 1.0705
Re 6.5579 3.7862 2.6773
```

Calculated values
SG: F-43m



VASP calculation (PBE-GGA) on crystalline Zr2Ti2Re at its relaxed geometry.

extended XYZ file:
```
10
Lattice="-2.0333 -1.3893 5.8994 -0.2487 -6.1982 -1.5454 4.5543 -0.5423 1.4420" Properties=species:S:1:pos:R:3 pbc="T T T"
Ti -1.3552 -1.8203 3.5956
Ti -0.9268 -5.7672 0.7584
Zr 0.4991 -3.4974 5.1234
Zr 1.5573 -1.7658 2.4323
Re -1.1410 -3.7938 2.1770
Zr 0.7149 -6.3640 3.3638
Ti -1.8929 -5.2018 4.0222
Zr 1.7732 -4.6324 0.6726
Ti -0.3891 -2.3857 0.3318
Re 0.0000 0.0000 0.0000
```

Calculated values
SG: P4/mbm



VASP calculation (PBE-GGA) on crystalline ZrTiRe at its relaxed geometry.

extended XYZ file:
```
6
Lattice="-2.8924 -4.4431 -0.6737 5.2287 -0.2549 -1.0751 1.0469 1.9680 4.8571" Properties=species:S:1:pos:R:3 pbc="T T T"
Zr 0.8619 0.5836 3.9564
Zr 2.5213 -3.3135 -0.8482
Re 1.6916 -1.3650 1.5541
Re 2.6144 -0.1275 -0.5376
Ti -0.9227 -1.2375 2.0917
Ti 3.1378 0.8565 1.8910
```

Calculated values
Energy above the most stable polymorph in this dataset in eV per atom: 0.0000
SG: Imma



VASP calculation (PBE-GGA) on crystalline ZrTi2Re at its relaxed geometry.

extended XYZ file:
```
4
Lattice="3.2354 0.0000 0.0000 0.0000 4.5925 0.0000 0.0000 0.0000 4.5925" Properties=species:S:1:pos:R:3 pbc="T T T"
Ti 0.0000 0.0000 2.2963
Ti 0.0000 2.2963 0.0000
Re 1.6177 2.2963 2.2963
Zr 1.6177 0.0000 0.0000
```

Calculated values
Energy above the most stable polymorph in this dataset in eV per atom: 0.1597
SG: P4/mmm



VASP calculation (PBE-GGA) on crystalline Zr2TiRe at its relaxed geometry.

extended XYZ file:
```
8
Lattice="-4.4724 2.6617 5.3947 -2.4765 -6.9409 1.3715 -1.3732 -2.5091 5.3075" Properties=species:S:1:pos:R:3 pbc="T T T"
Zr -3.5815 -3.3346 6.4879
Zr -2.3523 -4.6909 2.7403
Zr -3.5460 0.2270 4.9881
Re 0.0000 0.0000 0.0000
Zr -7.1644 -5.7781 9.9310
Ti -3.4745 -2.1396 3.3831
Re -4.6600 -0.9935 7.0426
Ti -3.6621 -5.7948 5.0310
```

Calculated values
Energy above the most stable polymorph in this dataset in eV per atom: 0.5259
SG: I-42d



VASP calculation (PBE-GGA) on crystalline ZrTi3Re at its relaxed geometry.

extended XYZ file:
```
5
Lattice="4.6193 0.0000 0.0000 0.0000 4.6193 0.0000 0.0000 0.0000 4.6193" Properties=species:S:1:pos:R:3 pbc="T T T"
Re 2.3096 2.3096 2.3096
Ti 0.0000 2.3096 0.0000
Zr 0.0000 0.0000 0.0000
Ti 0.0000 0.0000 2.3096
Ti 2.3096 0.0000 0.0000
```

Calculated values
Energy above the most stable polymorph in this dataset in eV per atom: 1.5893
SG: Pm-3m



VASP calculation (PBE-GGA) on crystalline ZrTi2Re at its relaxed geometry.

extended XYZ file:
```
8
Lattice="-5.4363 -4.5527 -1.7047 4.8538 -4.9401 -2.2854 -0.1856 -5.8489 0.6124" Properties=species:S:1:pos:R:3 pbc="T T T"
Ti -3.0467 -5.1004 -1.2636
Zr 2.1884 -7.7676 -1.8340
Ti -0.4621 -12.8830 -3.1200
Ti -0.5445 -7.7562 -0.9490
Re 0.0000 0.0000 0.0000
Zr -0.2913 -4.7464 -1.9951
Ti 2.5169 -4.9436 -1.4228
Re -2.9566 -7.5740 -1.5437
```

Calculated values
Energy above the most stable polymorph in this dataset in eV per atom: 0.4988
SG: I-42d



VASP calculation (PBE-GGA) on crystalline ZrTi5Re6 at its relaxed geometry.

extended XYZ file:
```
12
Lattice="4.3566 0.0018 -0.9106 -0.0028 6.3071 -0.0007 -0.8159 0.0004 6.9868" Properties=species:S:1:pos:R:3 pbc="T T T"
Ti 0.9062 3.1544 4.3511
Ti 2.6380 0.0014 1.7464
Re 0.4606 4.7079 2.2168
Ti 0.8999 6.3079 4.3292
Zr 0.0000 0.0000 0.0000
Re 2.1762 4.6784 -0.4558
Re 2.1776 1.6306 -0.4555
Ti -0.0014 3.1536 -0.0003
Ti 2.6317 3.1549 1.7245
Re 3.0773 1.6014 3.8588
Re 3.0759 4.7091 3.8585
Re 0.4620 1.6002 2.2171
```

Calculated values
SG: Cmmm



VASP calculation (PBE-GGA) on crystalline ZrTi3Re at its relaxed geometry.

extended XYZ file:
```
10
Lattice="-0.0671 -0.4899 5.2376 5.7572 0.1609 0.0889 -3.0572 5.9982 0.5219" Properties=species:S:1:pos:R:3 pbc="T T T"
Zr 2.7974 0.7616 4.0703
Ti 1.3465 1.6879 1.4962
Ti 4.2731 1.7697 1.5414
Ti 2.7481 3.8272 1.7143
Re 0.0000 0.0000 0.0000
Zr -0.1646 4.9075 1.7780
Re -0.0336 -0.2450 2.6188
Ti 1.2863 3.9812 4.3521
Ti -1.6402 3.8995 4.3069
Ti -0.1153 1.8420 4.1340
```

Calculated values
Energy above the most stable polymorph in this dataset in eV per atom: 0.0000
SG: Cmcm



VASP calculation (PBE-GGA) on crystalline ZrTi4Re5 at its relaxed geometry.

extended XYZ file:
```
10
Lattice="-2.9062 -1.0135 -0.7082 0.8152 -2.9309 0.8487 -4.6319 2.9807 14.7423" Properties=species:S:1:pos:R:3 pbc="T T T"
Ti -0.9577 0.6163 3.0483
Ti -2.7672 1.7807 8.8072
Re -2.4591 -1.0625 4.5693
Ti -3.6742 2.3644 11.6940
Re -1.5571 -1.6430 1.6985
Re -4.2639 0.0989 10.3135
Re -3.3615 -0.4818 7.4414
Zr 0.0000 0.0000 0.0000
Ti -1.8648 1.2000 5.9351
Re -5.1658 0.6793 13.1843
```

Calculated values
SG: P4/mmm



VASP calculation (PBE-GGA) on crystalline Zr2TiRe at its relaxed geometry.

extended XYZ file:
```
4
Lattice="0.0000 3.3610 3.3610 3.3610 0.0000 3.3610 3.3610 3.3610 0.0000" Properties=species:S:1:pos:R:3 pbc="T T T"
Zr 5.0414 5.0414 5.0414
Ti 0.0000 0.0000 0.0000
Re 3.3610 3.3610 3.3610
Zr 1.6805 1.6805 1.6805
```

Calculated values
Energy above the most stable polymorph in this dataset in eV per atom: 0.0000
SG: Fm-3m



VASP calculation (PBE-GGA) on crystalline TlRe3 at its relaxed geometry.

extended XYZ file:
```
4
Lattice="-0.7989 -2.5338 -1.0856 2.8416 0.3005 -2.7925 3.8514 -2.7660 3.6215" Properties=species:S:1:pos:R:3 pbc="T T T"
Re 1.9257 -1.3830 1.8108
Tl 0.0000 0.0000 0.0000
Re 2.1566 -1.9319 -0.8716
Re 3.7375 -3.0674 0.6150
```

Calculated values
Energy above the most stable polymorph in this dataset in eV per atom: 0.1586
SG: Pmmm



Record-wise E_tot values, in eV per atom: -11.273; -9.024; -9.976; -9.235; -8.918; -7.351; -8.896; -10.562; -8.941; -10.566; -9.444; -9.241
Record-wise formation enthalpy at 0 K values, in eV per atom: -0.23; 0.04; -0.35; -0.04; 0.44; 1.58; 0.30; -0.34; 0.00; -0.33; -0.08; 0.69